No. 1
The following is a DFT calculation (PBE) of a relaxed structure of Na2MnGeCl6.

```
Na2MnGeCl6
1.0
3.4203 1.9747 6.0893
-3.4203 1.9747 6.0893
0.0000 -3.9494 6.0893
Na Mn Ge Cl
2 1 1 6
Cartesian
0.0000 0.0000 0.0000
0.0000 0.0000 9.0414
0.0000 0.0000 12.8168
0.0000 0.0000 3.7165
-1.3032 -2.2182 7.9795
-2.0287 0.2261 11.1250
-1.2694 2.2377 7.9795
0.8186 -1.8700 11.1250
2.5726 -0.0195 7.9795
1.2102 1.6439 11.1250
```

Output
The density of states at the Fermi level is 0.00 states/eV/f.u. As for the total energy: -4.02 eV/atom. The space group is R3 (146). For the uncorrected formation energy, the calculation gives -1.268 eV per atom.

=====

No. 2
The following is a DFT calculation (PBE) of a relaxed structure of ThCu4P3.

```
ThCu4P3
1.0
3.7960 0.0000 0.0000
0.0000 3.7960 0.0000
0.0000 0.0000 8.6557
Th Cu P
1 4 3
Cartesian
0.0000 0.0000 0.0000
0.0000 1.8980 2.8992
0.0000 1.8980 5.7565
1.8980 0.0000 2.8992
1.8980 0.0000 5.7565
0.0000 0.0000 4.3279
1.8980 1.8980 1.4754
1.8980 1.8980 7.1803
```

Output
The density of states at the Fermi level is 3.39 states/eV/f.u. As for the total energy: -5.47 eV/atom. Its energy of formation is -469 meV/atom. The space group is P4/mmm (123).

=====

No. 3
The following is a DFT calculation (PBE) of a relaxed structure of LiP2ClF.

```
LiP2ClF
1.0
4.3749 0.0000 0.0000
0.0000 4.3749 0.0000
0.0000 0.0000 4.3886
Li P Cl F
1 2 1 1
Cartesian
0.0000 0.0000 0.0000
0.0000 2.1875 0.0000
2.1875 0.0000 0.0000
0.0000 0.0000 2.1943
2.1875 2.1875 2.1943
```

Output
The density of states at the Fermi level is 2.13 states/eV/f.u. As for the total energy: -2.91 eV/atom. The space group is P4/mmm (123). For the uncorrected formation energy, the calculation gives 0.385 eV per atom. The calculation puts the energy above the most stable polymorph in this dataset at 384 meV/atom.

=====

No. 4
The following is a DFT calculation (PBE) of a relaxed structure of Co2TcP.

```
Co2TcP
1.0
3.5380 0.0000 0.0000
0.0000 3.5380 0.0000
0.0000 0.0000 16.4957
Co Tc P
8 4 4
Cartesian
0.7713 0.8845 2.0620
0.8845 2.5403 6.1859
0.8845 2.7666 14.4337
0.9976 0.8845 10.3098
2.5403 2.6535 10.3098
2.6535 0.7713 14.4337
2.6535 0.9976 6.1859
2.7666 2.6535 2.0620
0.0000 0.0000 8.2478
0.0000 1.7690 12.3718
1.7690 0.0000 4.1239
1.7690 1.7690 0.0000
0.0000 0.0000 0.0000
0.0000 1.7690 4.1239
1.7690 0.0000 12.3718
1.7690 1.7690 8.2478
```

Output
The density of states at the Fermi level is 6.55 states/eV/f.u. As for the total energy: -7.22 eV/atom. Its energy of formation is 276 meV/atom. The space group is I-42d (122).

=====

Please write out number 2 again, unchanged.
The following is a DFT calculation (PBE) of a relaxed structure of ThCu4P3.

```
ThCu4P3
1.0
3.7960 0.0000 0.0000
0.0000 3.7960 0.0000
0.0000 0.0000 8.6557
Th Cu P
1 4 3
Cartesian
0.0000 0.0000 0.0000
0.0000 1.8980 2.8992
0.0000 1.8980 5.7565
1.8980 0.0000 2.8992
1.8980 0.0000 5.7565
0.0000 0.0000 4.3279
1.8980 1.8980 1.4754
1.8980 1.8980 7.1803
```

Output
The density of states at the Fermi level is 3.39 states/eV/f.u. As for the total energy: -5.47 eV/atom. Its energy of formation is -469 meV/atom. The space group is P4/mmm (123).